a:
{"formula": "RuC2", "functional": "PBE", "state": "optimized geometry", "lattice_angstrom": [[4.494, 0.000, 0.000], [0.000, 2.585, 0.000], [0.000, 0.000, 12.076]], "species": ["Ru", "Ru", "Ru", "Ru", "C", "C", "C", "C", "C", "C", "C", "C"], "frac_coords": [[0.230, 0.250, 0.189], [0.270, 0.750, 0.689], [0.730, 0.250, 0.311], [0.770, 0.750, 0.811], [0.154, 0.250, 0.857], [0.185, 0.250, 0.360], [0.315, 0.750, 0.860], [0.346, 0.750, 0.357], [0.654, 0.250, 0.643], [0.685, 0.250, 0.140], [0.815, 0.750, 0.640], [0.846, 0.750, 0.143]]}

b:
{"formula": "RuC2", "functional": "PBE", "state": "optimized geometry", "lattice_angstrom": [[3.014, 0.000, 0.000], [0.000, 3.014, 0.000], [0.000, 0.000, 5.957]], "species": ["Ru", "Ru", "C", "C", "C", "C"], "frac_coords": [[0.250, 0.250, 0.240], [0.750, 0.750, 0.760], [0.250, 0.250, 0.612], [0.250, 0.750, 0.000], [0.750, 0.250, 0.000], [0.750, 0.750, 0.388]]}

Verdict on stability: b comes out at the bottom.

a:
{"formula": "RuC2", "functional": "PBE", "state": "optimized geometry", "lattice_angstrom": [[-1.385, 1.385, 3.373], [1.385, -1.385, 3.373], [1.385, 1.385, -3.373]], "species": ["Ru", "C", "C"], "frac_coords": [[0.000, 0.000, 0.000], [0.322, 0.322, 0.000], [0.678, 0.678, 0.000]]}

b:
{"formula": "RuC2", "functional": "PBE", "state": "optimized geometry", "lattice_angstrom": [[1.277, 0.737, 4.929], [-1.277, 0.737, 4.929], [0.000, -1.474, 4.929]], "species": ["Ru", "C", "C"], "frac_coords": [[0.000, 0.000, 0.000], [0.159, 0.159, 0.159], [0.841, 0.841, 0.841]]}

c:
{"formula": "RuC2", "functional": "PBE", "state": "optimized geometry", "lattice_angstrom": [[-1.297, 1.935, 7.928], [1.297, -1.935, 7.928], [1.297, 1.935, -7.928]], "species": ["Ru", "Ru", "C", "C", "C", "C"], "frac_coords": [[0.298, 0.048, 0.250], [0.702, 0.952, 0.750], [0.390, 0.640, 0.750], [0.478, 0.728, 0.750], [0.522, 0.272, 0.250], [0.610, 0.360, 0.250]]}

Verdict on stability: a comes out at the bottom.

a:
{"formula": "RuC2", "functional": "PBE", "state": "optimized geometry", "lattice_angstrom": [[2.903, 0.000, 0.000], [-1.452, 2.514, 0.000], [0.000, 0.000, 12.862]], "species": ["Ru", "Ru", "Ru", "C", "C", "C", "C", "C", "C"], "frac_coords": [[0.000, 0.000, 0.000], [0.333, 0.667, 0.351], [0.667, 0.333, 0.649], [0.000, 0.000, 0.446], [0.000, 0.000, 0.554], [0.333, 0.667, 0.103], [0.333, 0.667, 0.205], [0.667, 0.333, 0.795], [0.667, 0.333, 0.897]]}

b:
{"formula": "RuC2", "functional": "PBE", "state": "optimized geometry", "lattice_angstrom": [[1.305, -7.566, 0.000], [1.305, 7.566, 0.000], [0.000, 0.000, 2.705]], "species": ["Ru", "Ru", "C", "C", "C", "C"], "frac_coords": [[0.116, 0.884, 0.000], [0.884, 0.116, 0.000], [0.000, 0.000, 0.500], [0.226, 0.774, 0.500], [0.500, 0.500, 0.000], [0.774, 0.226, 0.500]]}

c:
{"formula": "RuC2", "functional": "PBE", "state": "optimized geometry", "lattice_angstrom": [[4.787, 0.000, 0.000], [-2.393, 4.146, 0.000], [0.000, 0.000, 5.213]], "species": ["Ru", "Ru", "Ru", "C", "C", "C", "C", "C", "C"], "frac_coords": [[0.000, 0.000, 0.000], [0.333, 0.667, 0.500], [0.667, 0.333, 0.500], [0.000, 0.306, 0.265], [0.000, 0.694, 0.735], [0.306, 0.000, 0.265], [0.306, 0.306, 0.735], [0.694, 0.000, 0.735], [0.694, 0.694, 0.265]]}

Verdict on stability: c comes out at the bottom.

a:
{"formula": "RuC2", "functional": "PBE", "state": "optimized geometry", "lattice_angstrom": [[2.625, -2.320, 0.000], [2.625, 2.320, 0.000], [-0.007, 0.000, 2.864]], "species": ["Ru", "C", "C"], "frac_coords": [[0.000, 0.000, 0.000], [0.465, 0.276, 0.000], [0.724, 0.535, 0.000]]}

b:
{"formula": "RuC2", "functional": "PBE", "state": "optimized geometry", "lattice_angstrom": [[2.860, 0.000, 0.000], [-1.430, 2.476, 0.000], [0.000, 0.000, 3.992]], "species": ["Ru", "C", "C"], "frac_coords": [[0.000, 0.000, 0.000], [0.667, 0.333, 0.323], [0.667, 0.333, 0.677]]}

Verdict on stability: a comes out at the bottom.

a:
{"formula": "RuC2", "functional": "PBE", "state": "optimized geometry", "lattice_angstrom": [[3.588, 0.000, 0.000], [-1.794, 3.107, 0.000], [0.000, 0.000, 2.853]], "species": ["Ru", "C", "C"], "frac_coords": [[0.000, 0.000, 0.000], [0.333, 0.667, 0.000], [0.667, 0.333, 0.000]]}

b:
{"formula": "RuC2", "functional": "PBE", "state": "optimized geometry", "lattice_angstrom": [[3.533, -1.407, 0.000], [3.533, 1.407, 0.000], [-0.640, 0.000, 5.642]], "species": ["Ru", "Ru", "C", "C", "C", "C"], "frac_coords": [[0.231, 0.231, 0.267], [0.769, 0.769, 0.733], [0.069, 0.069, 0.597], [0.400, 0.400, 0.983], [0.600, 0.600, 0.017], [0.931, 0.931, 0.403]]}

Verdict on stability: a comes out at the bottom.

a:
{"formula": "RuC2", "functional": "PBE", "state": "optimized geometry", "lattice_angstrom": [[2.643, -2.579, 0.000], [2.643, 2.579, 0.000], [0.000, 0.000, 4.587]], "species": ["Ru", "Ru", "C", "C", "C", "C"], "frac_coords": [[0.146, 0.854, 0.750], [0.854, 0.146, 0.250], [0.111, 0.632, 0.250], [0.368, 0.889, 0.250], [0.632, 0.111, 0.750], [0.889, 0.368, 0.750]]}

b:
{"formula": "RuC2", "functional": "PBE", "state": "optimized geometry", "lattice_angstrom": [[1.593, 0.919, 5.215], [-1.593, 0.919, 5.215], [0.000, -1.839, 5.215]], "species": ["Ru", "C", "C"], "frac_coords": [[0.000, 0.000, 0.000], [0.279, 0.279, 0.279], [0.388, 0.388, 0.388]]}

Verdict on stability: b comes out at the bottom.

a:
{"formula": "RuC2", "functional": "PBE", "state": "optimized geometry", "lattice_angstrom": [[0.000, 3.036, 3.036], [3.036, 0.000, 3.036], [3.036, 3.036, 0.000]], "species": ["Ru", "Ru", "C", "C", "C", "C"], "frac_coords": [[0.125, 0.125, 0.125], [0.875, 0.875, 0.875], [0.000, 0.500, 0.500], [0.500, 0.000, 0.500], [0.500, 0.500, 0.000], [0.500, 0.500, 0.500]]}

b:
{"formula": "RuC2", "functional": "PBE", "state": "optimized geometry", "lattice_angstrom": [[2.501, 0.000, 0.000], [-1.251, 2.166, 0.000], [0.000, 0.000, 8.881]], "species": ["Ru", "C", "C"], "frac_coords": [[0.000, 0.000, 0.000], [0.333, 0.667, 0.500], [0.667, 0.333, 0.500]]}

c:
{"formula": "RuC2", "functional": "PBE", "state": "optimized geometry", "lattice_angstrom": [[3.571, -1.413, 0.000], [3.571, 1.413, 0.000], [-0.185, 0.000, 5.668]], "species": ["Ru", "Ru", "C", "C", "C", "C"], "frac_coords": [[0.000, 0.000, 0.000], [0.735, 0.735, 0.576], [0.037, 0.037, 0.662], [0.289, 0.289, 0.083], [0.347, 0.347, 0.329], [0.545, 0.545, 0.294]]}

d:
{"formula": "RuC2", "functional": "PBE", "state": "optimized geometry", "lattice_angstrom": [[5.723, 0.000, 0.000], [-2.861, 4.956, 0.000], [0.000, 0.000, 2.837]], "species": ["Ru", "Ru", "Ru", "C", "C", "C", "C", "C", "C"], "frac_coords": [[0.000, 0.000, 0.000], [0.333, 0.667, 0.500], [0.667, 0.333, 0.500], [0.000, 0.275, 0.500], [0.000, 0.621, 0.000], [0.275, 0.000, 0.500], [0.379, 0.379, 0.000], [0.621, 0.000, 0.000], [0.725, 0.725, 0.500]]}

Verdict on stability: a comes out at the bottom.

a:
{"formula": "RuC2", "functional": "PBE", "state": "optimized geometry", "lattice_angstrom": [[3.528, 0.000, 0.000], [-1.764, 3.055, 0.000], [0.000, 0.000, 10.807]], "species": ["Ru", "Ru", "Ru", "Ru", "C", "C", "C", "C", "C", "C", "C", "C"], "frac_coords": [[0.333, 0.667, 0.094], [0.333, 0.667, 0.406], [0.667, 0.333, 0.594], [0.667, 0.333, 0.906], [0.000, 0.000, 0.000], [0.000, 0.000, 0.500], [0.139, 0.277, 0.250], [0.139, 0.861, 0.250], [0.277, 0.139, 0.750], [0.723, 0.861, 0.250], [0.861, 0.139, 0.750], [0.861, 0.723, 0.750]]}

b:
{"formula": "RuC2", "functional": "PBE", "state": "optimized geometry", "lattice_angstrom": [[1.279, -4.750, 0.000], [1.279, 4.750, 0.000], [0.000, 0.000, 4.286]], "species": ["Ru", "Ru", "C", "C", "C", "C"], "frac_coords": [[0.176, 0.824, 0.750], [0.824, 0.176, 0.250], [0.105, 0.895, 0.250], [0.477, 0.523, 0.750], [0.523, 0.477, 0.250], [0.895, 0.105, 0.750]]}

c:
{"formula": "RuC2", "functional": "PBE", "state": "optimized geometry", "lattice_angstrom": [[4.971, 0.000, 0.000], [0.000, 4.971, 0.000], [0.000, 0.000, 4.971]], "species": ["Ru", "Ru", "Ru", "Ru", "C", "C", "C", "C", "C", "C", "C", "C"], "frac_coords": [[0.000, 0.000, 0.000], [0.000, 0.500, 0.500], [0.500, 0.000, 0.500], [0.500, 0.500, 0.000], [0.079, 0.579, 0.921], [0.079, 0.921, 0.421], [0.421, 0.079, 0.921], [0.421, 0.421, 0.421], [0.579, 0.579, 0.579], [0.579, 0.921, 0.079], [0.921, 0.079, 0.579], [0.921, 0.421, 0.079]]}

d:
{"formula": "RuC2", "functional": "PBE", "state": "optimized geometry", "lattice_angstrom": [[5.479, -1.328, 0.000], [5.479, 1.328, 0.000], [-0.679, 0.000, 3.945]], "species": ["Ru", "Ru", "C", "C", "C", "C"], "frac_coords": [[0.130, 0.130, 0.453], [0.870, 0.870, 0.547], [0.237, 0.237, 0.075], [0.467, 0.467, 0.839], [0.533, 0.533, 0.161], [0.763, 0.763, 0.925]]}

Verdict on stability: a comes out at the bottom.